Below is a relaxed YTaCd2 crystal, with properties calculated at the PBE level.

a = 4.2784 Å, b = 4.2784 Å, c = 21.6209 Å
α = 90.00°, β = 90.00°, γ = 90.00°
Space group I-42d (No. 122)
Unique sites:
Y 0.0000 0.0000 0.0000 [4 per cell]
Ta 0.0000 0.0000 0.5000 [4 per cell]
Cd 0.2235 0.2500 0.6250 [8 per cell]

Computed properties:
mass density	8.30	g/cm³
total magnetic moment	0.00	μB/cell
formation enthalpy at 0 K	2.64	eV/f.u.
uncorrected energy	-4.3758	eV per atom